Entry 1:
VASP calculation (meta-GGA SCAN) on a crystal of BaTaPS2 relaxed with PBEsol.

Calculated values
Space group   P4/mmm

abc: 5.3602 5.3602 5.3710
angles: 90.00 90.00 90.00
With the nearest neighbours (Å) after each atom.
Fractional positions:
Ba1 0.0000 0.0000 0.0000  4 S 2.68, 2 P 2.69
Ta1 0.5000 0.5000 0.5000  4 P 3.79, 8 S 3.79
P1 0.0000 0.0000 0.5000  2 Ba 2.69
S1 0.0000 0.5000 0.0000  2 Ba 2.68
S2 0.5000 0.0000 0.0000  2 Ba 2.68

Entry 2:
VASP calculation (meta-GGA SCAN) on a crystal of BaTeP2S relaxed with PBEsol.

Calculated values
Space group   P4/mmm

abc: 5.5772 5.5772 5.1563
angles: 90.00 90.00 90.00
With the nearest neighbours (Å) after each atom.
Fractional positions:
Ba1 0.0000 0.0000 0.0000  2 S 2.58, 4 P 2.79
Te1 0.5000 0.5000 0.5000  8 P 3.80, 4 S 3.94
P1 0.0000 0.5000 0.0000  2 Ba 2.79
P2 0.5000 0.0000 0.0000  2 Ba 2.79
S1 0.0000 0.0000 0.5000  2 Ba 2.58

Energy relative to the elements, uncorrected, respectively: 1.666, 1.316 eV per atom.
Magnetization, respectively: 1.46, 1.15 Bohr magnetons per cell.
Energy relative to the lowest polymorph listed for this composition, respectively: 2923, 1453 meV/atom.